Record 1
Mg2Zn5Ag4: optimized geometry, PBE.

Calculated values
E_tot (eV per atom): -1.956
Symmetry: Fmmm, No. 69
V (Å³ per cell): 205

Cell: 5.1820 5.0633 9.4564 Å, 81.94 74.10 59.22°
Closest atoms and distances in Å follow each position.
Sites, in units of the cell vectors:
Mg: 0.8871 0.0000 0.2259  6 Ag 2.92-2.98, 4 Zn 3.26
Mg: 0.1129 0.0000 0.7741  6 Ag 2.92-2.98, 4 Zn 3.26
Zn: 0.2500 0.5000 0.5000  2 Zn 2.59, 4 Ag 2.66
Zn: 0.0000 0.5000 0.0000  4 Zn 2.53-2.59, 4 Ag 2.77
Zn: 0.5000 0.5000 0.0000  4 Zn 2.53-2.59, 4 Ag 2.77
Zn: 0.5000 0.0000 0.0000  4 Zn 2.53, 4 Ag 2.75
Zn: 0.7500 0.5000 0.5000  2 Zn 2.59, 4 Ag 2.66
Ag: 0.7946 0.6681 0.7426  5 Zn 2.66-2.77, 3 Ag 2.89-2.98, 3 Mg 2.92-2.98
Ag: 0.2054 0.3319 0.2574  5 Zn 2.66-2.77, 3 Ag 2.89-2.98, 3 Mg 2.92-2.98
Ag: 0.4628 0.3319 0.7426  5 Zn 2.66-2.77, 3 Ag 2.89-2.98, 3 Mg 2.92-2.98
Ag: 0.5372 0.6681 0.2574  5 Zn 2.66-2.77, 3 Ag 2.89-2.98, 3 Mg 2.92-2.98

=====

Record 2
Mg5ZnAg4: optimized geometry, PBE.

Calculated values
E_tot (eV per atom): -2.271
Symmetry: P4/mmm, No. 123
V (Å³ per cell): 184

Cell: 3.2992 3.2992 16.9467 Å, 90.00 90.00 90.00°
Closest atoms and distances in Å follow each position.
Sites, in units of the cell vectors:
Mg: 0.5000 0.5000 0.1037  4 Ag 2.87, 4 Zn 2.92
Mg: 0.5000 0.5000 0.6975  8 Ag 2.87-2.88
Mg: 0.5000 0.5000 0.3025  8 Ag 2.87-2.88
Mg: 0.5000 0.5000 0.8963  4 Ag 2.87, 4 Zn 2.92
Mg: 0.5000 0.5000 0.5000  8 Ag 2.87
Ag: 0.0000 0.0000 0.4010  8 Mg 2.87
Ag: 0.0000 0.0000 0.5990  8 Mg 2.87
Ag: 0.0000 0.0000 0.2024  8 Mg 2.87-2.88
Ag: 0.0000 0.0000 0.7976  8 Mg 2.87-2.88
Zn: 0.0000 0.0000 0.0000  8 Mg 2.92

=====

Record 3
Mg4ZnAg5: optimized geometry, PBE.

Calculated values
E_tot (eV per atom): -2.396
Symmetry: P4/mmm, No. 123
V (Å³ per cell): 180

Cell: 3.3368 3.3368 16.1390 Å, 90.00 90.00 90.00°
Closest atoms and distances in Å follow each position.
Sites, in units of the cell vectors:
Mg: 0.0000 0.0000 0.1943  8 Ag 2.87-2.88, 1 Zn 3.14
Mg: 0.0000 0.0000 0.6020  8 Ag 2.88
Mg: 0.0000 0.0000 0.3980  8 Ag 2.88
Mg: 0.0000 0.0000 0.8057  8 Ag 2.87-2.88, 1 Zn 3.14
Zn: 0.0000 0.0000 0.0000  8 Ag 2.79
Ag: 0.5000 0.5000 0.2961  8 Mg 2.87-2.88
Ag: 0.5000 0.5000 0.9078  4 Zn 2.79, 4 Mg 2.88, 1 Ag 2.98
Ag: 0.5000 0.5000 0.0922  4 Zn 2.79, 4 Mg 2.88, 1 Ag 2.98
Ag: 0.5000 0.5000 0.7039  8 Mg 2.87-2.88
Ag: 0.5000 0.5000 0.5000  8 Mg 2.88

=====

Record 4
MgZn2Ag: optimized geometry, PBE.

Calculated values
E_tot (eV per atom): -1.834
Symmetry: Fmmm, No. 69
V (Å³ per cell): 67

Cell: 4.9523 4.9523 4.9443 Å, 131.41 131.34 71.35°
Closest atoms and distances in Å follow each position.
Sites, in units of the cell vectors:
Zn: 0.5001 0.5001 0.0000  4 Ag 2.86, 4 Mg 2.86, 4 Zn 2.87-2.89
Zn: 0.9999 0.9999 0.0000  4 Ag 2.86, 4 Mg 2.86, 4 Zn 2.87-2.89
Mg: 0.2500 0.7500 0.5000  8 Zn 2.86, 4 Ag 2.87-2.89
Ag: 0.7500 0.2500 0.5000  8 Zn 2.86, 4 Mg 2.87-2.89